# HgWF6 GGA+U optimized geometry
data_HgWF6
_chemical_formula_sum 'Hg3 W3 F18'
_space_group_name_H-M_alt 'R -3 m'
_space_group_IT_number 166
_space_group_name_Hall '-R 3 2"'
_cell_length_a 6.0366
_cell_length_b 6.0366
_cell_length_c 16.4877
_cell_angle_alpha 90.00
_cell_angle_beta 90.00
_cell_angle_gamma 120.00
loop_
_atom_site_label
_atom_site_type_symbol
_atom_site_fract_x
_atom_site_fract_y
_atom_site_fract_z
Hg1 Hg 0.0000 0.0000 0.0000
W1 W 0.0000 0.0000 0.5000
F1 F 0.0392 0.5196 0.1009
# E = -4.615 eV/atom
# ρ = 4772 kg/m3
# ΔE to the lowest computed polymorph = 0.0 meV/atom